{
  "formula": "LuPdPt2",
  "functional": "PBE",
  "state": "relaxed",
  "dft_energy_ev_per_cell": -23.56,
  "space_group": "F-43m",
  "volume_a3_per_cell": 88.82,
  "e_form_ev_per_atom": -0.437,
  "mass_density_g_cm3": 12.56,
  "lattice_angstrom": [[0.000, 3.541, 3.541], [3.541, 0.000, 3.541], [3.541, 3.541, 0.000]],
  "species": ["Lu", "Pd", "Pt", "Pt"],
  "fractional_positions": [[0.000, 0.000, 0.000], [0.750, 0.750, 0.750], [0.250, 0.250, 0.250], [0.500, 0.500, 0.500]]
}

{
  "formula": "LuPd2Pt",
  "functional": "PBE",
  "state": "relaxed",
  "dft_energy_ev_per_cell": -24.15,
  "space_group": "F-43m",
  "volume_a3_per_cell": 69.44,
  "e_form_ev_per_atom": -0.804,
  "mass_density_g_cm3": 13.94,
  "lattice_angstrom": [[0.000, 3.262, 3.262], [3.262, 0.000, 3.262], [3.262, 3.262, 0.000]],
  "species": ["Lu", "Pd", "Pd", "Pt"],
  "fractional_positions": [[0.000, 0.000, 0.000], [0.250, 0.250, 0.250], [0.500, 0.500, 0.500], [0.750, 0.750, 0.750]]
}

{
  "formula": "LuPdPt",
  "functional": "PBE",
  "state": "relaxed",
  "dft_energy_ev_per_cell": -18.08,
  "space_group": "F-43m",
  "volume_a3_per_cell": 64.92,
  "e_form_ev_per_atom": -0.777,
  "mass_density_g_cm3": 12.19,
  "lattice_angstrom": [[0.000, 3.190, 3.190], [3.190, 0.000, 3.190], [3.190, 3.190, 0.000]],
  "species": ["Lu", "Pd", "Pt"],
  "fractional_positions": [[0.000, 0.000, 0.000], [0.500, 0.500, 0.500], [0.250, 0.250, 0.250]]
}

{
  "formula": "RbLuPdS3",
  "functional": "PBE",
  "state": "relaxed",
  "dft_energy_ev_per_cell": -121.24,
  "space_group": "Pnma",
  "volume_a3_per_cell": 632.85,
  "mass_density_g_cm3": 4.86,
  "lattice_angstrom": [[14.984, 0.000, 0.000], [0.000, 3.985, 0.000], [0.000, 0.000, 10.598]],
  "species": ["Rb", "Rb", "Rb", "Rb", "Lu", "Lu", "Lu", "Lu", "Pd", "Pd", "Pd", "Pd", "S", "S", "S", "S", "S", "S", "S", "S", "S", "S", "S", "S"],
  "fractional_positions": [[0.236, 0.250, 0.044], [0.264, 0.750, 0.544], [0.736, 0.250, 0.456], [0.764, 0.750, 0.956], [0.018, 0.250, 0.347], [0.482, 0.750, 0.847], [0.518, 0.250, 0.153], [0.982, 0.750, 0.653], [0.001, 0.250, 0.911], [0.499, 0.750, 0.411], [0.501, 0.250, 0.589], [0.999, 0.750, 0.089], [0.078, 0.750, 0.875], [0.091, 0.250, 0.573], [0.119, 0.750, 0.252], [0.381, 0.250, 0.752], [0.409, 0.750, 0.073], [0.422, 0.250, 0.375], [0.578, 0.750, 0.625], [0.591, 0.250, 0.927], [0.619, 0.750, 0.248], [0.881, 0.250, 0.748], [0.909, 0.750, 0.427], [0.922, 0.250, 0.125]]
}